No. 1
TlSi2Os | GGA-PBE | optimized geometry

Cell: 3.0128 3.0057 8.0411 Å, 90.00 90.38 90.00°
Closest atoms and distances in Å follow each position.
Positions (direct):
Tl 0.0000 0.0000 0.0000  4 Tl 3.01, 8 Si 3.33-3.36
Si 0.4970 0.5000 0.3212  4 Os 2.57
Si 0.5030 0.5000 0.6788  4 Os 2.57
Os 0.0000 0.0000 0.5000  8 Si 2.57

Computed properties:
**Space-group type**: P2/m
**Raw formation energy**: 0.1313 eV per atom
**Density**: 10280 kg/m3
**Relative energy among the computed polymorphs**: 0 meV per atom

---

No. 2
TlSi2Os | GGA-PBE | optimized geometry

Cell: 6.4889 6.4889 6.4889 Å, 90.00 90.00 90.00°
Closest atoms and distances in Å follow each position.
Positions (direct):
Tl 0.0000 0.0000 0.0000  4 Os 2.81, 4 Si 2.81
Tl 0.0000 0.5000 0.5000  4 Os 2.81, 4 Si 2.81
Tl 0.5000 0.0000 0.5000  4 Os 2.81, 4 Si 2.81
Tl 0.5000 0.5000 0.0000  4 Os 2.81, 4 Si 2.81
Si 0.0000 0.0000 0.5000  4 Si 2.81, 4 Os 2.81
Si 0.0000 0.5000 0.0000  4 Si 2.81, 4 Os 2.81
Si 0.2500 0.2500 0.7500  4 Tl 2.81, 4 Si 2.81
Si 0.2500 0.7500 0.2500  4 Tl 2.81, 4 Si 2.81
Si 0.5000 0.0000 0.0000  4 Si 2.81, 4 Os 2.81
Si 0.5000 0.5000 0.5000  4 Si 2.81, 4 Os 2.81
Si 0.7500 0.2500 0.2500  4 Tl 2.81, 4 Si 2.81
Si 0.7500 0.7500 0.7500  4 Tl 2.81, 4 Si 2.81
Os 0.2500 0.2500 0.2500  4 Tl 2.81, 4 Si 2.81
Os 0.2500 0.7500 0.7500  4 Tl 2.81, 4 Si 2.81
Os 0.7500 0.2500 0.7500  4 Tl 2.81, 4 Si 2.81
Os 0.7500 0.7500 0.2500  4 Tl 2.81, 4 Si 2.81

Computed properties:
**Space-group type**: F-43m
**Raw formation energy**: 0.9469 eV per atom
**Density**: 10959 kg/m3
**Relative energy among the computed polymorphs**: 816 meV per atom

---

No. 3
TlSiOs3 | GGA-PBE | optimized geometry

Cell: 4.9758 4.9758 4.9758 Å, 90.00 90.00 90.00°
Closest atoms and distances in Å follow each position.
Positions (direct):
Tl 0.0000 0.0000 0.0000  6 Os 2.49
Si 0.5000 0.5000 0.5000  12 Os 3.52
Os 0.0000 0.0000 0.5000  2 Tl 2.49
Os 0.0000 0.5000 0.0000  2 Tl 2.49
Os 0.5000 0.0000 0.0000  2 Tl 2.49

Computed properties:
**Space-group type**: Pm-3m
**Raw formation energy**: 3.3673 eV per atom
**Density**: 10826 kg/m3
**Relative energy among the computed polymorphs**: 2165 meV per atom